Compound: Ca2AcS4
Source: Alexandria via LeMat-Bulk
Functional: PBE-GGA
Structure: relaxed

Properties
E_tot in eV per formula unit: -37.46
Density of states at the Fermi level in states/eV per atom: 0.18
Formation energy without anion corrections in eV/atom: -1.8347

Structure (CIF):
```
data_Ca2AcS4
_chemical_formula_sum 'Ca8 Ac4 S16'
_symmetry_space_group_name_H-M 'C m c m'
_symmetry_Int_Tables_number 63
_symmetry_space_group_name_Hall '-C 2c 2'
_cell_length_a 4.188
_cell_length_b 13.832
_cell_length_c 12.508
_cell_angle_alpha 90.00
_cell_angle_beta 90.00
_cell_angle_gamma 90.00
loop_
_atom_site_label
_atom_site_type_symbol
_atom_site_fract_x
_atom_site_fract_y
_atom_site_fract_z
_atom_site_occupancy
Ca1 Ca 0.000 0.128 0.062 1
Ac1 Ac 0.000 0.397 0.250 1
S1 S 0.000 0.038 0.250 1
S2 S 0.000 0.233 0.633 1
S3 S 0.000 0.500 0.000 1
```



Compound: ScGeB
Source: Alexandria via LeMat-Bulk
Functional: PBE-GGA
Structure: relaxed

Properties
E_tot in eV per formula unit: -19.08
Density of states at the Fermi level in states/eV per atom: 0.38
Formation energy in kJ per mole of atoms: -47

Structure (CIF):
```
data_ScGeB
_chemical_formula_sum 'Sc6 Ge6 B6'
_symmetry_space_group_name_H-M 'R -3 m'
_symmetry_Int_Tables_number 166
_symmetry_space_group_name_Hall '-R 3 2"'
_cell_length_a 3.2834
_cell_length_b 3.2834
_cell_length_c 27.9285
_cell_angle_alpha 90.00
_cell_angle_beta 90.00
_cell_angle_gamma 120.00
loop_
_atom_site_label
_atom_site_type_symbol
_atom_site_fract_x
_atom_site_fract_y
_atom_site_fract_z
_atom_site_occupancy
Sc1 Sc 0.0000 0.0000 0.0601 1
Ge1 Ge 0.0000 0.0000 0.1968 1
B1 B 0.0000 0.0000 0.3343 1
```



Compound: Na2SnF4
Source: Alexandria via LeMat-Bulk
Functional: PBE-GGA
Structure: relaxed

Properties
Distance to the lowest polymorph of the same formula in meV per atom: 0
E_tot in eV per formula unit: -31.72
Density of states at the Fermi level in states/eV per atom: 0.00
Formation energy without anion corrections in eV/atom: -2.5132

Structure (CIF):
```
data_Na2SnF4
_chemical_formula_sum 'Na4 Sn2 F8'
_symmetry_space_group_name_H-M 'P -1'
_symmetry_Int_Tables_number 2
_symmetry_space_group_name_Hall '-P 1'
_cell_length_a 6.423
_cell_length_b 6.445
_cell_length_c 7.302
_cell_angle_alpha 110.41
_cell_angle_beta 97.55
_cell_angle_gamma 116.83
loop_
_atom_site_label
_atom_site_type_symbol
_atom_site_fract_x
_atom_site_fract_y
_atom_site_fract_z
_atom_site_occupancy
Na1 Na 0.032 0.449 0.291 1
Na2 Na 0.344 0.258 0.791 1
Sn1 Sn 0.419 0.170 0.250 1
F1 F 0.250 0.841 0.605 1
F2 F 0.264 0.356 0.105 1
F3 F 0.290 0.419 0.557 1
F4 F 0.362 0.736 0.945 1
```